No. 1
VASP calculation (PBE) on HoEr2ThP4 after structural relaxation.

Structure (POSCAR):
```
HoEr2ThP4
1.0
-1.048 -1.559 -3.563
-2.639 -5.574 3.215
-6.705 1.131 1.478
P Er Ho Th
4 2 1 1
Direct
0.000 0.243 0.256
0.500 0.246 0.748
0.000 0.757 0.744
0.500 0.754 0.252
0.500 0.000 0.500
0.000 0.000 0.000
0.000 0.500 0.500
0.500 0.500 0.000
```

Summary:
Calculated density: 7.7 g/cm³
ΔE_f: -1609 meV/atom

No. 2
VASP calculation (PBE) on Ba8P3Cl4 after structural relaxation.

Structure (POSCAR):
```
Ba8P3Cl4
1.0
8.176 0.000 4.409
2.899 7.644 4.409
0.011 0.008 9.764
Cl Ba P
4 8 3
Direct
0.500 0.500 0.500
0.638 0.638 0.085
0.000 0.000 0.000
0.362 0.362 0.915
0.254 0.254 0.718
0.746 0.226 0.282
0.254 0.774 0.718
0.764 0.764 0.709
0.236 0.236 0.291
0.774 0.254 0.718
0.746 0.746 0.282
0.226 0.746 0.282
0.500 0.000 0.500
0.000 0.000 0.500
0.000 0.500 0.500
```

Summary:
Calculated density: 3.6 g/cm³
E_tot: -61.3 eV/cell

No. 3
VASP calculation (PBE) on Pr6RuRh2Br3 after structural relaxation.

Structure (POSCAR):
```
Pr6RuRh2Br3
1.0
4.129 0.000 0.000
0.000 9.252 -0.350
-2.064 -3.382 9.326
Pr Rh Br Ru
6 2 3 1
Direct
0.322 0.447 0.644
0.010 0.218 0.020
0.652 0.108 0.305
0.678 0.553 0.356
0.348 0.892 0.695
0.990 0.782 0.980
0.833 0.666 0.665
0.167 0.334 0.335
0.834 0.167 0.668
0.166 0.833 0.332
0.500 0.500 0.000
0.500 0.000 0.000
```

Summary:
Calculated density: 6.6 g/cm³
E_tot: -69.4 eV/cell

No. 4
VASP calculation (PBE) on CsCd12Au7 after structural relaxation.

Structure (POSCAR):
```
CsCd12Au7
1.0
7.549 0.000 2.414
-3.775 7.156 3.130
-0.001 0.000 8.675
Cs Au Cd
1 7 12
Direct
0.000 0.000 0.000
0.835 0.342 0.015
0.493 0.643 0.342
0.850 0.015 0.643
0.507 0.357 0.658
0.150 0.985 0.357
0.165 0.658 0.985
0.500 0.000 0.000
0.969 0.720 0.747
0.463 0.320 0.009
0.537 0.680 0.991
0.716 0.747 0.532
0.143 0.671 0.320
0.284 0.253 0.468
0.752 0.468 0.280
0.473 0.009 0.671
0.857 0.329 0.680
0.248 0.532 0.720
0.527 0.991 0.329
0.031 0.280 0.253
```

Summary:
Calculated density: 10.1 g/cm³
ΔE_f: -116 meV/atom

No. 5
VASP calculation (PBE) on Y3Tl3Hg after structural relaxation.

Structure (POSCAR):
```
Y3Tl3Hg
1.0
-2.638 3.243 2.050
-6.048 -0.914 -1.049
-3.014 -7.092 12.625
Tl Hg Y
6 2 6
Direct
0.876 0.174 0.073
0.000 0.775 0.224
0.124 0.826 0.927
0.858 0.755 0.529
0.000 0.225 0.776
0.142 0.245 0.471
0.752 0.138 0.359
0.248 0.862 0.641
0.473 0.679 0.374
0.273 0.235 0.219
0.727 0.765 0.781
0.398 0.279 0.925
0.602 0.721 0.075
0.527 0.321 0.626
```

Summary:
Calculated density: 9.2 g/cm³
ΔE_f: -329 meV/atom

No. 6
VASP calculation (PBE) on TlRh2Au after structural relaxation.

Structure (POSCAR):
```
TlRh2Au
1.0
4.017 0.000 0.000
0.000 4.017 0.000
2.009 2.009 9.571
Tl Rh Au
2 4 2
Direct
0.000 0.000 0.000
0.750 0.250 0.500
0.582 0.125 0.250
0.875 0.832 0.750
0.168 0.625 0.250
0.375 0.418 0.750
0.250 0.750 0.500
0.500 0.500 0.000
```

Summary:
Calculated density: 13.1 g/cm³
ΔE_f: 472 meV/atom